[1]
DFT (PBE) results for crystalline AcBeMo at its relaxed geometry.

Lattice parameters (Å, degrees): 4.584 4.584 4.584 60.00 60.00 60.00
Each line ends with the local moment (μB).
Atoms (fractional coordinates):
Ac1 0.250 0.250 0.250  0.01
Be1 0.000 0.000 0.000  -0.06
Mo1 0.750 0.750 0.750  1.05

Output
Space-group type: F-43m
Crystal system: cubic

---

[2]
DFT (PBE) results for crystalline NdAsNO at its relaxed geometry.

Lattice parameters (Å, degrees): 7.166 6.977 5.125 90.00 90.00 90.00
Atoms (fractional coordinates):
As1 0.680 0.370 0.058
As2 0.180 0.630 0.058
As3 0.820 0.370 0.558
As4 0.320 0.630 0.558
N1 0.357 0.480 0.242
N2 0.857 0.520 0.242
N3 0.143 0.480 0.742
N4 0.643 0.520 0.742
Nd1 0.422 0.175 0.483
Nd2 0.922 0.825 0.483
Nd3 0.078 0.175 0.983
Nd4 0.578 0.825 0.983
O1 0.114 0.087 0.419
O2 0.614 0.913 0.419
O3 0.386 0.087 0.919
O4 0.886 0.913 0.919

Output
Space-group type: Pca2_1
Crystal system: orthorhombic

---

[3]
DFT (PBE) results for crystalline InCuTe3Ir at its relaxed geometry.

Lattice parameters (Å, degrees): 10.296 7.455 7.455 148.70 90.00 90.00
Atoms (fractional coordinates):
Cu1 0.750 0.533 0.467
Cu2 0.250 0.467 0.533
In1 0.250 0.767 0.233
In2 0.750 0.233 0.767
Ir1 0.000 0.000 0.000
Ir2 0.500 0.000 0.000
Te1 0.750 0.921 0.079
Te2 0.535 0.626 0.374
Te3 0.965 0.626 0.374
Te4 0.035 0.374 0.626
Te5 0.465 0.374 0.626
Te6 0.250 0.079 0.921

Output
Space-group type: Cmcm
Crystal system: orthorhombic

---

no.,magnetic moment (μB/f.u.),DFT total energy (eV/atom)
1,1.1,-5.281
2,0.0,-6.910
3,0.0,-4.176